[1]
A plane-wave DFT calculation with PBE was carried out for crystalline Li3Cd2Cu2 at its relaxed geometry.

a = 4.401 Å, b = 2.763 Å, c = 9.465 Å
α = 90.00°, β = 103.14°, γ = 90.00°
Sites, in units of the cell vectors:
Li (0.000, 0.000, 0.000)
Li (0.290, 0.000, 0.579)
Li (0.710, 0.000, 0.421)
Cd (0.139, 0.500, 0.279)
Cd (0.861, 0.500, 0.721)
Cu (0.430, 0.000, 0.862)
Cu (0.570, 0.000, 0.138)

Summary:
* spin magnetization: 0.0 Bohr magnetons per cell
* DFT formation energy: -0.05 eV/atom
* SG: P2/m (10)

[2]
A plane-wave DFT calculation with PBE was carried out for crystalline Mg2Zn at its relaxed geometry.

a = 3.128 Å, b = 3.128 Å, c = 14.406 Å
α = 90.00°, β = 90.00°, γ = 120.00°
Sites, in units of the cell vectors:
Mg (0.333, 0.667, 0.093)
Mg (0.333, 0.667, 0.722)
Mg (0.667, 0.333, 0.278)
Mg (0.667, 0.333, 0.907)
Zn (0.333, 0.667, 0.433)
Zn (0.667, 0.333, 0.567)

Summary:
* spin magnetization: 0.0 Bohr magnetons per cell
* DFT formation energy: 0.01 eV/atom
* SG: P-3m1 (164)

[3]
A plane-wave DFT calculation with PBE was carried out for crystalline YAlCr2Br at its relaxed geometry.

a = 4.837 Å, b = 4.837 Å, c = 5.326 Å
α = 90.00°, β = 90.00°, γ = 90.00°
Sites, in units of the cell vectors:
Y (0.000, 0.000, 0.000)
Al (0.500, 0.500, 0.500)
Cr (0.000, 0.500, 0.500)
Cr (0.500, 0.000, 0.500)
Br (0.500, 0.500, 0.000)

Summary:
* E_form (uncorrected): 0.780 eV per atom
* spin magnetization: 7.4 Bohr magnetons per cell
* SG: P4/mmm (123)

[4]
A plane-wave DFT calculation with PBE was carried out for crystalline SrNdZnCu at its relaxed geometry.

a = 5.268 Å, b = 5.268 Å, c = 5.268 Å
α = 60.00°, β = 60.00°, γ = 60.00°
Sites, in units of the cell vectors:
Sr (0.000, 0.000, 0.000)
Nd (0.500, 0.500, 0.500)
Zn (0.250, 0.250, 0.250)
Cu (0.750, 0.750, 0.750)

Summary:
* spin magnetization: 0.0 Bohr magnetons per cell
* DFT formation energy: -0.10 eV/atom
* SG: F-43m (216)

[5]
A plane-wave DFT calculation with PBE was carried out for crystalline Ti3Cd2O8 at its relaxed geometry.

a = 6.348 Å, b = 6.348 Å, c = 5.113 Å
α = 108.57°, β = 108.57°, γ = 57.52°
Sites, in units of the cell vectors:
Ti (0.000, 0.000, 0.000)
Ti (0.267, 0.733, 0.500)
Ti (0.733, 0.267, 0.500)
Cd (0.279, 0.279, 0.837)
Cd (0.721, 0.721, 0.163)
O (0.099, 0.099, 0.408)
O (0.117, 0.673, 0.103)
O (0.327, 0.883, 0.897)
O (0.397, 0.397, 0.553)
O (0.603, 0.603, 0.447)
O (0.673, 0.117, 0.103)
O (0.883, 0.327, 0.897)
O (0.901, 0.901, 0.592)

Summary:
* E_form (uncorrected): -2.432 eV per atom
* spin magnetization: 0.0 Bohr magnetons per cell
* SG: C2/m (12)

[6]
A plane-wave DFT calculation with PBE was carried out for crystalline SrTcOs2 at its relaxed geometry.

a = 9.982 Å, b = 9.982 Å, c = 9.982 Å
α = 16.33°, β = 16.33°, γ = 16.33°
Sites, in units of the cell vectors:
Sr (0.000, 0.000, 0.000)
Tc (0.500, 0.500, 0.500)
Os (0.238, 0.238, 0.238)
Os (0.762, 0.762, 0.762)

Summary:
* spin magnetization: 0.0 Bohr magnetons per cell
* DFT formation energy: 0.78 eV/atom
* SG: R-3m (166)

[7]
A plane-wave DFT calculation with PBE was carried out for crystalline TcBAsSe2 at its relaxed geometry.

a = 4.915 Å, b = 4.915 Å, c = 4.747 Å
α = 90.00°, β = 90.00°, γ = 90.00°
Sites, in units of the cell vectors:
Tc (0.000, 0.000, 0.000)
B (0.500, 0.500, 0.500)
As (0.000, 0.000, 0.500)
Se (0.000, 0.500, 0.000)
Se (0.500, 0.000, 0.000)

Summary:
* E_form (uncorrected): 1.264 eV per atom
* spin magnetization: 0.0 Bohr magnetons per cell
* SG: P4/mmm (123)

[8]
A plane-wave DFT calculation with PBE was carried out for crystalline LaRuC2 at its relaxed geometry.

a = 6.537 Å, b = 6.537 Å, c = 6.537 Å
α = 135.95°, β = 135.95°, γ = 64.05°
Sites, in units of the cell vectors:
La (0.000, 0.000, 0.000)
La (0.750, 0.250, 0.500)
Ru (0.250, 0.750, 0.500)
Ru (0.500, 0.500, 0.000)
C (0.261, 0.625, 0.136)
C (0.375, 0.511, 0.636)
C (0.489, 0.125, 0.864)
C (0.875, 0.739, 0.364)

Summary:
* spin magnetization: 0.0 Bohr magnetons per cell
* DFT formation energy: 0.29 eV/atom
* SG: I-42d (122)

[9]
A plane-wave DFT calculation with PBE was carried out for crystalline TaCr2Cd at its relaxed geometry.

a = 5.136 Å, b = 5.136 Å, c = 5.136 Å
α = 135.66°, β = 135.66°, γ = 64.51°
Sites, in units of the cell vectors:
Ta (0.000, 0.000, 0.000)
Cr (0.500, 0.500, 0.000)
Cr (0.750, 0.250, 0.500)
Cd (0.250, 0.750, 0.500)

Summary:
* spin magnetization: 4.6 Bohr magnetons per cell
* DFT formation energy: 0.53 eV/atom
* SG: I-4m2 (119)

[10]
A plane-wave DFT calculation with PBE was carried out for crystalline Y2MgHgH at its relaxed geometry.

a = 4.791 Å, b = 4.791 Å, c = 4.502 Å
α = 90.00°, β = 90.00°, γ = 90.00°
Sites, in units of the cell vectors:
Y (0.000, 0.500, 0.000)
Y (0.500, 0.000, 0.000)
Mg (0.000, 0.000, 0.500)
Hg (0.500, 0.500, 0.500)
H (0.000, 0.000, 0.000)

Summary:
* spin magnetization: 0.8 Bohr magnetons per cell
* VASP energy: -3.95 eV/atom
* SG: P4/mmm (123)

[11]
A plane-wave DFT calculation with PBE was carried out for crystalline ZrTe2P at its relaxed geometry.

a = 5.389 Å, b = 5.389 Å, c = 4.125 Å
α = 105.39°, β = 105.39°, γ = 112.63°
Sites, in units of the cell vectors:
Zr (0.000, 0.000, 0.000)
Te (0.000, 0.500, 0.500)
Te (0.500, 0.000, 0.500)
P (0.500, 0.500, 0.000)

Summary:
* E_form (uncorrected): -0.029 eV per atom
* spin magnetization: 0.0 Bohr magnetons per cell
* SG: C2/m (12)

[12]
A plane-wave DFT calculation with PBE was carried out for crystalline Pm3Ag2Pd2 at its relaxed geometry.

a = 11.102 Å, b = 11.102 Å, c = 3.809 Å
α = 90.00°, β = 90.00°, γ = 158.90°
Sites, in units of the cell vectors:
Pm (0.000, 0.000, 0.000)
Pm (0.167, 0.833, 0.000)
Pm (0.833, 0.167, 0.000)
Ag (0.425, 0.575, 0.500)
Ag (0.575, 0.425, 0.500)
Pd (0.292, 0.708, 0.500)
Pd (0.708, 0.292, 0.500)

Summary:
* spin magnetization: 0.0 Bohr magnetons per cell
* DFT formation energy: -0.52 eV/atom
* SG: Cmmm (65)

[13]
A plane-wave DFT calculation with PBE was carried out for crystalline Sr3InAg2O6 at its relaxed geometry.

a = 6.064 Å, b = 6.064 Å, c = 6.423 Å
α = 90.00°, β = 90.00°, γ = 120.00°
Sites, in units of the cell vectors:
Sr (0.000, 0.000, 0.000)
Sr (0.333, 0.667, 0.588)
Sr (0.667, 0.333, 0.412)
In (0.000, 0.000, 0.500)
Ag (0.333, 0.667, 0.095)
Ag (0.667, 0.333, 0.905)
O (0.165, 0.330, 0.301)
O (0.165, 0.835, 0.301)
O (0.330, 0.165, 0.699)
O (0.670, 0.835, 0.301)
O (0.835, 0.165, 0.699)
O (0.835, 0.670, 0.699)

Summary:
* E_form (uncorrected): -1.454 eV per atom
* spin magnetization: 0.0 Bohr magnetons per cell
* SG: P-3m1 (164)

[14]
A plane-wave DFT calculation with PBE was carried out for crystalline SrMgW2 at its relaxed geometry.

a = 6.126 Å, b = 6.126 Å, c = 6.126 Å
α = 150.90°, β = 133.24°, γ = 56.03°
Sites, in units of the cell vectors:
Sr (0.000, 0.000, 0.000)
Mg (0.500, 0.500, 0.000)
W (0.265, 0.765, 0.500)
W (0.735, 0.235, 0.500)

Summary:
* spin magnetization: 0.0 Bohr magnetons per cell
* DFT formation energy: 1.03 eV/atom
* SG: Immm (71)

[15]
A plane-wave DFT calculation with PBE was carried out for crystalline LaGaBr3 at its relaxed geometry.

a = 5.475 Å, b = 5.475 Å, c = 5.475 Å
α = 90.00°, β = 90.00°, γ = 90.00°
Sites, in units of the cell vectors:
La (0.000, 0.000, 0.000)
Ga (0.500, 0.500, 0.500)
Br (0.000, 0.500, 0.500)
Br (0.500, 0.000, 0.500)
Br (0.500, 0.500, 0.000)

Summary:
* E_form (uncorrected): -0.655 eV per atom
* spin magnetization: 1.1 Bohr magnetons per cell
* SG: Pm-3m (221)

[16]
A plane-wave DFT calculation with PBE was carried out for crystalline Cs2V2As at its relaxed geometry.

a = 13.178 Å, b = 13.178 Å, c = 13.178 Å
α = 165.10°, β = 165.10°, γ = 21.13°
Sites, in units of the cell vectors:
Cs (0.103, 0.103, 0.000)
Cs (0.897, 0.897, 0.000)
V (0.250, 0.750, 0.500)
V (0.750, 0.250, 0.500)
As (0.500, 0.500, 0.000)

Summary:
* spin magnetization: 0.0 Bohr magnetons per cell
* DFT formation energy: 0.74 eV/atom
* SG: I4/mmm (139)

[17]
A plane-wave DFT calculation with PBE was carried out for crystalline TaAl2Fe2 at its relaxed geometry.

a = 6.843 Å, b = 6.843 Å, c = 2.882 Å
α = 90.00°, β = 90.00°, γ = 90.00°
Sites, in units of the cell vectors:
Ta (0.000, 0.000, 0.000)
Ta (0.500, 0.500, 0.000)
Al (0.144, 0.356, 0.500)
Al (0.356, 0.856, 0.500)
Al (0.644, 0.144, 0.500)
Al (0.856, 0.644, 0.500)
Fe (0.152, 0.652, 0.000)
Fe (0.348, 0.152, 0.000)
Fe (0.652, 0.848, 0.000)
Fe (0.848, 0.348, 0.000)

Summary:
* spin magnetization: 0.0 Bohr magnetons per cell
* DFT formation energy: -0.15 eV/atom
* SG: P4/mbm (127)

[18]
A plane-wave DFT calculation with PBE was carried out for crystalline FeReB2Se at its relaxed geometry.

a = 3.800 Å, b = 3.800 Å, c = 4.701 Å
α = 90.00°, β = 90.00°, γ = 90.00°
Sites, in units of the cell vectors:
Fe (0.000, 0.000, 0.000)
Re (0.000, 0.000, 0.500)
B (0.000, 0.500, 0.000)
B (0.500, 0.000, 0.000)
Se (0.500, 0.500, 0.500)

Summary:
* E_form (uncorrected): 1.136 eV per atom
* spin magnetization: 0.5 Bohr magnetons per cell
* SG: P4/mmm (123)

[19]
A plane-wave DFT calculation with PBE was carried out for crystalline SrLa3Ru at its relaxed geometry.

a = 10.225 Å, b = 10.225 Å, c = 7.335 Å
α = 102.72°, β = 102.72°, γ = 70.38°
Sites, in units of the cell vectors:
Sr (0.112, 0.888, 0.750)
Sr (0.253, 0.747, 0.250)
Sr (0.747, 0.253, 0.750)
Sr (0.888, 0.112, 0.250)
La (0.031, 0.359, 0.584)
La (0.088, 0.339, 0.097)
La (0.339, 0.088, 0.597)
La (0.344, 0.450, 0.566)
La (0.359, 0.031, 0.084)
La (0.450, 0.344, 0.066)
La (0.550, 0.656, 0.934)
La (0.641, 0.969, 0.916)
La (0.656, 0.550, 0.434)
La (0.661, 0.912, 0.403)
La (0.912, 0.661, 0.903)
La (0.969, 0.641, 0.416)
Ru (0.167, 0.523, 0.851)
Ru (0.477, 0.833, 0.649)
Ru (0.523, 0.167, 0.351)
Ru (0.833, 0.477, 0.149)

Summary:
* spin magnetization: 0.0 Bohr magnetons per cell
* DFT formation energy: -0.03 eV/atom
* SG: C2/c (15)

[20]
A plane-wave DFT calculation with PBE was carried out for crystalline PaGeSeN2 at its relaxed geometry.

a = 5.535 Å, b = 3.745 Å, c = 9.070 Å
α = 90.00°, β = 103.60°, γ = 90.00°
Sites, in units of the cell vectors:
Pa (0.211, 0.250, 0.402)
Pa (0.789, 0.750, 0.598)
Ge (0.332, 0.250, 0.777)
Ge (0.668, 0.750, 0.223)
Se (0.161, 0.750, 0.920)
Se (0.839, 0.250, 0.080)
N (0.037, 0.250, 0.610)
N (0.458, 0.750, 0.377)
N (0.542, 0.250, 0.623)
N (0.963, 0.750, 0.390)

Summary:
* E_form (uncorrected): -0.884 eV per atom
* spin magnetization: 0.0 Bohr magnetons per cell
* SG: P2_1/m (11)